[1]
First-principles (PBE) data for an optimized crystal structure of Sr2TaCo, as listed in Alexandria via LeMat-Bulk.

Output
Total DFT energy (no corrections), eV/atom: -4.271

a = 5.4151 Å, b = 5.4151 Å, c = 5.4151 Å
α = 60.00°, β = 60.00°, γ = 60.00°
Site moments in Bohr magnetons follow the coordinates.
Fractional positions:
Sr 0.7500 0.7500 0.7500  0.08
Ta 0.5000 0.5000 0.5000  1.83
Sr 0.2500 0.2500 0.2500  0.08
Co 0.0000 0.0000 0.0000  1.55

---

[2]
First-principles (PBE) data for an optimized crystal structure of SrTa2Co, as listed in Alexandria via LeMat-Bulk.

Output
Total DFT energy (no corrections), eV/atom: -7.237

a = 3.2322 Å, b = 4.6054 Å, c = 5.2768 Å
α = 90.00°, β = 90.00°, γ = 90.00°
Site moments in Bohr magnetons follow the coordinates.
Fractional positions:
Co 0.5000 0.0000 0.5000  0.75
Ta 0.0000 0.0000 0.0000  -0.07
Ta 0.5000 0.5000 0.0000  -0.06
Sr 0.0000 0.5000 0.5000  -0.05

---

[3]
First-principles (PBE) data for an optimized crystal structure of SrTa2Co, as listed in Alexandria via LeMat-Bulk.

Output
Total DFT energy (no corrections), eV/atom: -7.159

a = 4.8031 Å, b = 4.8031 Å, c = 4.8031 Å
α = 60.00°, β = 60.00°, γ = 60.00°
Site moments in Bohr magnetons follow the coordinates.
Fractional positions:
Ta 0.2500 0.2500 0.2500  0.02
Ta 0.0000 0.0000 0.0000  0.43
Sr 0.7500 0.7500 0.7500  0.00
Co 0.5000 0.5000 0.5000  1.38

---

[4]
First-principles (PBE) data for an optimized crystal structure of Sr2TaCo, as listed in Alexandria via LeMat-Bulk.

Output
Total DFT energy (no corrections), eV/atom: -4.394

a = 6.0397 Å, b = 6.0397 Å, c = 6.0397 Å
α = 138.71°, β = 138.71°, γ = 59.82°
Site moments in Bohr magnetons follow the coordinates.
Fractional positions:
Co 0.7500 0.2500 0.5000  1.05
Sr 0.0000 0.0000 0.0000  -0.02
Ta 0.2500 0.7500 0.5000  -0.28
Sr 0.5000 0.5000 0.0000  -0.02

---

Volume
In order: 112, 79, 78, 95
Unit: Å³ per cell